HfV2PdO: relaxed, PBE with a Hubbard U.

a b c (Å): 4.9116 4.9116 4.9085
angles (deg): 90.00 90.00 90.00
Element x y z (fractional)
Hf 0.0000 0.0000 0.0000
V 0.0000 0.5000 0.5000
V 0.5000 0.0000 0.5000
Pd 0.0000 0.0000 0.5000
O 0.5000 0.5000 0.0000

energy: -5.657 eV/atom
size of the total moment: 1.16 μB per atom
density of states at the Fermi level: 2.5 states/eV/f.u.
ρ: 5.65 Mg/m³
SG: P4/mmm